No. 1
Density functional theory data (PBE-GGA) for Na3AcPd8 after structural relaxation.

Cell: 9.451 9.451 9.451 Å, 33.55 33.55 33.55°
Fractional coordinates of all 12 atoms:
Pd1 0.561 0.561 0.063
Pd2 0.063 0.561 0.063
Pd3 0.063 0.063 0.561
Na1 0.993 0.993 0.993
Ac1 0.124 0.124 0.124
Pd4 0.561 0.063 0.063
Na2 0.627 0.627 0.627
Pd5 0.813 0.813 0.813
Pd6 0.561 0.063 0.561
Pd7 0.312 0.312 0.312
Na3 0.510 0.510 0.510
Pd8 0.063 0.561 0.561

The raw total energy comes out at -4.533 eV/atom. The calculation puts the volume at 229.7 Å³ per cell. The calculation puts the total magnetization at 0.0 μB per formula unit.

=====

No. 2
Density functional theory data (PBE-GGA) for NaAc3Pd8 after structural relaxation.

Cell: 9.737 9.737 9.737 Å, 33.48 33.48 33.48°
Fractional coordinates of all 12 atoms:
Ac1 0.508 0.508 0.508
Na1 0.869 0.869 0.869
Pd1 0.188 0.188 0.188
Pd2 0.436 0.938 0.938
Pd3 0.938 0.436 0.938
Pd4 0.437 0.942 0.437
Pd5 0.688 0.688 0.688
Pd6 0.942 0.437 0.437
Ac2 0.991 0.991 0.991
Pd7 0.938 0.938 0.436
Ac3 0.378 0.378 0.378
Pd8 0.437 0.437 0.942

The raw total energy comes out at -5.292 eV/atom. The calculation puts the volume at 250.1 Å³ per cell. The calculation puts the total magnetization at 0.0 μB per formula unit.

=====

Number 2 is which compound? NaAc3Pd8

=====

Copy entry 1 word for word.
Density functional theory data (PBE-GGA) for Na3AcPd8 after structural relaxation.

Cell: 9.451 9.451 9.451 Å, 33.55 33.55 33.55°
Fractional coordinates of all 12 atoms:
Pd1 0.561 0.561 0.063
Pd2 0.063 0.561 0.063
Pd3 0.063 0.063 0.561
Na1 0.993 0.993 0.993
Ac1 0.124 0.124 0.124
Pd4 0.561 0.063 0.063
Na2 0.627 0.627 0.627
Pd5 0.813 0.813 0.813
Pd6 0.561 0.063 0.561
Pd7 0.312 0.312 0.312
Na3 0.510 0.510 0.510
Pd8 0.063 0.561 0.561

The raw total energy comes out at -4.533 eV/atom. The calculation puts the volume at 229.7 Å³ per cell. The calculation puts the total magnetization at 0.0 μB per formula unit.